Below is a relaxed Li2MnHgF8 crystal, with properties calculated at the PBE with a Hubbard U level.

Properties
D(E_F), states/eV/cell: 2.51
Calculated volume, Å³/f.u.: 155.1
Energy, eV per atom: -4.3450
SG: I-4m2, No. 119

Cell: 5.874 5.874 5.874 Å, 112.10 112.10 104.33°
Atoms (fractional coordinates):
Li: 0.000 0.000 0.000
Li: 0.750 0.250 0.500
Mn: 0.500 0.500 0.000
Hg: 0.250 0.750 0.500
F: 0.159 0.443 0.715
F: 0.205 0.025 0.820
F: 0.205 0.385 0.180
F: 0.557 0.272 0.715
F: 0.557 0.841 0.285
F: 0.615 0.795 0.820
F: 0.728 0.443 0.285
F: 0.975 0.795 0.180

***

Below is a relaxed LiMnHgF6 crystal, with properties calculated at the PBE with a Hubbard U level.

Properties
D(E_F), states/eV/cell: 8.31
Calculated volume, Å³/f.u.: 119.6
Energy, eV per atom: -4.5133
SG: P-31c, No. 163

Cell: 5.271 5.271 9.940 Å, 90.00 90.00 120.00°
Atoms (fractional coordinates):
Li: 0.333 0.667 0.250
Li: 0.667 0.333 0.750
Mn: 0.333 0.667 0.750
Mn: 0.667 0.333 0.250
Hg: 0.000 0.000 0.000
Hg: 0.000 0.000 0.500
F: 0.013 0.364 0.641
F: 0.013 0.649 0.859
F: 0.351 0.364 0.859
F: 0.351 0.987 0.641
F: 0.364 0.013 0.141
F: 0.364 0.351 0.359
F: 0.636 0.649 0.641
F: 0.636 0.987 0.859
F: 0.649 0.013 0.359
F: 0.649 0.636 0.141
F: 0.987 0.351 0.141
F: 0.987 0.636 0.359

***

Below is a relaxed LiHgMoF6 crystal, with properties calculated at the PBE with a Hubbard U level.

Properties
Calculated volume, Å³/f.u.: 127.6
Energy, eV per atom: -4.5628
SG: P-31c, No. 163

Cell: 5.448 5.448 9.932 Å, 90.00 90.00 120.00°
Atoms (fractional coordinates):
Li: 0.333 0.667 0.250
Li: 0.667 0.333 0.750
Hg: 0.000 0.000 0.000
Hg: 0.000 0.000 0.500
Mo: 0.333 0.667 0.750
Mo: 0.667 0.333 0.250
F: 0.004 0.354 0.138
F: 0.004 0.650 0.362
F: 0.350 0.354 0.362
F: 0.350 0.996 0.138
F: 0.354 0.004 0.638
F: 0.354 0.350 0.862
F: 0.646 0.650 0.138
F: 0.646 0.996 0.362
F: 0.650 0.004 0.862
F: 0.650 0.646 0.638
F: 0.996 0.350 0.638
F: 0.996 0.646 0.862